VASP calculation (PBE) on LaPuCdGa after structural relaxation.

Properties
Energy of formation, eV per atom: -0.24
M_tot, μB/f.u.: 6.3
Total DFT energy (no corrections), hartree per atom: -0.22205

abc: 5.3445 5.3445 5.3445
angles: 60.00 60.00 60.00
Closest atoms and distances in Å follow each position.
Fractional coordinates of all 4 atoms:
Cd 0.7500 0.7500 0.7500  4 La 3.27, 4 Pu 3.27
La 0.5000 0.5000 0.5000  4 Ga 3.27, 4 Cd 3.27
Ga 0.2500 0.2500 0.2500  4 Pu 3.27, 4 La 3.27
Pu 0.0000 0.0000 0.0000  4 Cd 3.27, 4 Ga 3.27


VASP calculation (PBE) on La2CdGaRh after structural relaxation.

Properties
Energy of formation, eV per atom: -0.48
M_tot, μB/f.u.: 0.0
Total DFT energy (no corrections), hartree per atom: -0.17309

abc: 5.5171 5.5171 4.8311
angles: 90.00 90.00 90.00
Closest atoms and distances in Å follow each position.
Fractional coordinates of all 5 atoms:
Cd 0.5000 0.5000 0.5000  8 La 3.67, 4 Ga 3.90
Rh 0.0000 0.0000 0.0000  2 Ga 2.42
Ga 0.0000 0.0000 0.5000  2 Rh 2.42
La 0.0000 0.5000 0.0000  2 Rh 2.76
La 0.5000 0.0000 0.0000  2 Rh 2.76


VASP calculation (PBE) on LaCdGa2Rh after structural relaxation.

Properties
Energy of formation, eV per atom: -0.43
M_tot, μB/f.u.: 0.0
Total DFT energy (no corrections), hartree per atom: -0.15743

abc: 4.7736 4.7736 5.1111
angles: 90.00 90.00 90.00
Closest atoms and distances in Å follow each position.
Fractional coordinates of all 5 atoms:
Cd 0.0000 0.0000 0.5000  2 Rh 2.56
Rh 0.0000 0.0000 0.0000  4 Ga 2.39, 2 Cd 2.56
Ga 0.0000 0.5000 0.0000  2 Rh 2.39
Ga 0.5000 0.0000 0.0000  2 Rh 2.39
La 0.5000 0.5000 0.5000  4 Cd 3.38, 8 Ga 3.50